{"formula": "PmDy2HfN4", "functional": "PBE", "state": "relaxed", "cell": [[5.926, 0.000, 0.000], [0.000, 3.421, 0.000], [-1.962, 0.000, 5.636]], "species": ["Pm", "Dy", "Dy", "Hf", "N", "N", "N", "N"], "frac_coords": [[0.000, 0.000, 0.000], [0.500, 0.000, 0.500], [0.500, 0.500, 0.000], [0.000, 0.500, 0.500], [0.235, 0.000, 0.729], [0.245, 0.500, 0.269], [0.755, 0.500, 0.731], [0.765, 0.000, 0.271]], "e_form_raw_kcal_per_mol_atoms": -38.1, "sg": "P2/m", "density_g_cm3": 10.24}

---

{"formula": "La2Pr8Pb", "functional": "PBE", "state": "relaxed", "cell": [[9.432, -2.566, 0.000], [9.432, 2.566, 0.000], [-2.121, 0.000, 7.958]], "species": ["La", "La", "Pr", "Pr", "Pr", "Pr", "Pr", "Pr", "Pr", "Pr", "Pb"], "frac_coords": [[0.223, 0.223, 0.132], [0.777, 0.777, 0.868], [0.042, 0.042, 0.231], [0.139, 0.139, 0.679], [0.324, 0.324, 0.592], [0.410, 0.410, 0.062], [0.590, 0.590, 0.938], [0.676, 0.676, 0.408], [0.861, 0.861, 0.321], [0.958, 0.958, 0.769], [0.500, 0.500, 0.500]], "formation_energy_ev_per_fu": -0.896, "sg": "C2/m", "density_g_cm3": 6.95}

---

Number 1: E -8.804 eV/atom. Number 2: E -4.790 eV/atom.